The following is a PBEsol calculation of crystalline GeTePS2 at its relaxed geometry, from Alexandria.

The calculation puts the uncorrected formation energy at 0.50 eV/atom. Its calculated volume is 20.1 Å³ per atom. The value obtained for the total energy is -4.1020 eV per atom.

It has space group P4/mmm (No. 123), with a = 4.5716 Å, b = 4.5716 Å, c = 4.8053 Å, α = 90.00°, β = 90.00° and γ = 90.00°. The inequivalent atoms are Ge at (0.0000, 0.0000, 0.0000), Te at (0.5000, 0.5000, 0.5000), P at (0.0000, 0.0000, 0.5000) and S at (0.0000, 0.5000, 0.0000).